(1)
Computed, not measured: crystalline ScH3NCl3 at its relaxed geometry at the GGA-PBEsol level of DFT.

Calculated values
As for the spin magnetization: 0.00 μB/f.u. As for the energy: -5.206 eV/atom. The space group is P-1 (2).

a = 6.924 Å, b = 9.097 Å, c = 9.167 Å
α = 73.34°, β = 77.44°, γ = 80.64°
Fractional coordinates of all 32 atoms:
Sc 0.080 0.196 0.441
Sc 0.400 0.308 0.052
Sc 0.600 0.692 0.948
Sc 0.920 0.804 0.559
H 0.185 0.767 0.013
H 0.251 0.264 0.661
H 0.251 0.418 0.510
H 0.276 0.765 0.166
H 0.291 0.917 0.013
H 0.425 0.270 0.505
H 0.575 0.730 0.495
H 0.709 0.083 0.987
H 0.724 0.235 0.834
H 0.749 0.582 0.490
H 0.749 0.736 0.339
H 0.815 0.233 0.987
N 0.276 0.298 0.541
N 0.303 0.797 0.046
N 0.697 0.203 0.954
N 0.724 0.702 0.459
Cl 0.089 0.415 0.205
Cl 0.102 0.962 0.660
Cl 0.214 0.682 0.433
Cl 0.231 0.184 0.928
Cl 0.400 0.092 0.289
Cl 0.411 0.546 0.836
Cl 0.589 0.454 0.164
Cl 0.600 0.908 0.711
Cl 0.769 0.816 0.072
Cl 0.786 0.318 0.567
Cl 0.898 0.038 0.340
Cl 0.911 0.585 0.795

(2)
Computed, not measured: crystalline Ta2H15N6Cl7 at its relaxed geometry at the GGA-PBEsol level of DFT.

Calculated values
As for the spin magnetization: 0.00 μB/f.u. As for the energy: -5.374 eV/atom. The space group is Cmcm (63).

a = 10.934 Å, b = 10.934 Å, c = 7.811 Å
α = 90.00°, β = 90.00°, γ = 120.48°
Fractional coordinates of all 60 atoms:
Ta 0.000 0.000 0.000
Ta 0.000 0.000 0.500
Ta 0.175 0.825 0.750
Ta 0.825 0.175 0.250
H 0.085 0.915 0.250
H 0.086 0.424 0.642
H 0.086 0.424 0.858
H 0.110 0.301 0.750
H 0.139 0.861 0.036
H 0.139 0.861 0.464
H 0.242 0.472 0.750
H 0.289 0.555 0.250
H 0.301 0.110 0.250
H 0.424 0.086 0.142
H 0.424 0.086 0.358
H 0.431 0.569 0.144
H 0.431 0.569 0.356
H 0.445 0.711 0.250
H 0.472 0.242 0.250
H 0.528 0.758 0.750
H 0.555 0.289 0.750
H 0.569 0.431 0.644
H 0.569 0.431 0.856
H 0.576 0.914 0.642
H 0.576 0.914 0.858
H 0.699 0.890 0.750
H 0.711 0.445 0.750
H 0.758 0.528 0.250
H 0.861 0.139 0.536
H 0.861 0.139 0.964
H 0.890 0.699 0.250
H 0.914 0.576 0.142
H 0.914 0.576 0.358
H 0.915 0.085 0.750
N 0.031 0.969 0.250
N 0.105 0.895 0.569
N 0.105 0.895 0.931
N 0.127 0.404 0.750
N 0.398 0.602 0.250
N 0.404 0.127 0.250
N 0.596 0.873 0.750
N 0.602 0.398 0.750
N 0.873 0.596 0.250
N 0.895 0.105 0.069
N 0.895 0.105 0.431
N 0.969 0.031 0.750
Cl 0.035 0.411 0.250
Cl 0.222 0.222 0.000
Cl 0.222 0.222 0.500
Cl 0.269 0.731 0.527
Cl 0.269 0.731 0.973
Cl 0.411 0.035 0.750
Cl 0.442 0.558 0.750
Cl 0.558 0.442 0.250
Cl 0.589 0.965 0.250
Cl 0.731 0.269 0.027
Cl 0.731 0.269 0.473
Cl 0.778 0.778 0.000
Cl 0.778 0.778 0.500
Cl 0.965 0.589 0.750

(3)
Computed, not measured: crystalline TlH4NCl4 at its relaxed geometry at the GGA-PBEsol level of DFT.

Calculated values
As for the spin magnetization: 0.00 μB/f.u. As for the energy: -3.909 eV/atom. The space group is I4_1/a (88).

a = 9.370 Å, b = 9.370 Å, c = 9.370 Å
α = 137.00°, β = 137.00°, γ = 62.43°
Fractional coordinates of all 20 atoms:
Tl 0.375 0.125 0.250
Tl 0.625 0.875 0.750
H 0.003 0.247 0.573
H 0.071 0.497 0.744
H 0.173 0.429 0.927
H 0.253 0.327 0.756
H 0.747 0.673 0.244
H 0.827 0.571 0.073
H 0.929 0.503 0.256
H 0.997 0.753 0.427
N 0.125 0.375 0.750
N 0.875 0.625 0.250
Cl 0.125 0.279 0.332
Cl 0.221 0.052 0.846
Cl 0.294 0.625 0.346
Cl 0.448 0.794 0.168
Cl 0.552 0.206 0.832
Cl 0.706 0.375 0.654
Cl 0.779 0.948 0.154
Cl 0.875 0.721 0.668

(4)
Computed, not measured: crystalline VH11N3Cl5 at its relaxed geometry at the GGA-PBEsol level of DFT.

Calculated values
As for the spin magnetization: 2.00 μB/f.u. As for the energy: -4.835 eV/atom. The space group is Pnma (62).

a = 13.459 Å, b = 10.456 Å, c = 6.756 Å
α = 90.00°, β = 90.00°, γ = 90.00°
Fractional coordinates of all 80 atoms:
V 0.106 0.250 0.187
V 0.394 0.750 0.687
V 0.606 0.250 0.313
V 0.894 0.750 0.813
H 0.020 0.671 0.094
H 0.020 0.829 0.094
H 0.063 0.517 0.708
H 0.063 0.983 0.708
H 0.085 0.750 0.929
H 0.136 0.003 0.508
H 0.136 0.497 0.508
H 0.163 0.081 0.725
H 0.163 0.419 0.725
H 0.179 0.581 0.708
H 0.179 0.919 0.708
H 0.321 0.081 0.208
H 0.321 0.419 0.208
H 0.337 0.581 0.225
H 0.337 0.919 0.225
H 0.364 0.503 0.008
H 0.364 0.997 0.008
H 0.415 0.250 0.429
H 0.437 0.017 0.208
H 0.437 0.483 0.208
H 0.480 0.171 0.594
H 0.480 0.329 0.594
H 0.520 0.671 0.406
H 0.520 0.829 0.406
H 0.563 0.517 0.792
H 0.563 0.983 0.792
H 0.585 0.750 0.571
H 0.636 0.003 0.992
H 0.636 0.497 0.992
H 0.663 0.081 0.775
H 0.663 0.419 0.775
H 0.679 0.581 0.792
H 0.679 0.919 0.792
H 0.821 0.081 0.292
H 0.821 0.419 0.292
H 0.837 0.581 0.275
H 0.837 0.919 0.275
H 0.864 0.503 0.492
H 0.864 0.997 0.492
H 0.915 0.250 0.071
H 0.937 0.017 0.292
H 0.937 0.483 0.292
H 0.980 0.171 0.906
H 0.980 0.329 0.906
N 0.017 0.750 0.003
N 0.136 0.503 0.662
N 0.136 0.997 0.662
N 0.364 0.003 0.162
N 0.364 0.497 0.162
N 0.483 0.250 0.503
N 0.517 0.750 0.497
N 0.636 0.503 0.838
N 0.636 0.997 0.838
N 0.864 0.003 0.338
N 0.864 0.497 0.338
N 0.983 0.250 0.997
Cl 0.003 0.250 0.463
Cl 0.102 0.022 0.189
Cl 0.102 0.478 0.189
Cl 0.204 0.250 0.898
Cl 0.247 0.750 0.879
Cl 0.253 0.250 0.379
Cl 0.296 0.750 0.398
Cl 0.398 0.522 0.689
Cl 0.398 0.978 0.689
Cl 0.497 0.750 0.963
Cl 0.503 0.250 0.037
Cl 0.602 0.022 0.311
Cl 0.602 0.478 0.311
Cl 0.704 0.250 0.602
Cl 0.747 0.750 0.621
Cl 0.753 0.250 0.121
Cl 0.796 0.750 0.102
Cl 0.898 0.522 0.811
Cl 0.898 0.978 0.811
Cl 0.997 0.750 0.537

(5)
Computed, not measured: crystalline ZnH8N4Cl2 at its relaxed geometry at the GGA-PBEsol level of DFT.

Calculated values
As for the spin magnetization: 0.00 μB/f.u. As for the energy: -4.856 eV/atom. The space group is C2/m (12).

a = 5.919 Å, b = 5.919 Å, c = 4.077 Å
α = 101.12°, β = 101.12°, γ = 83.79°
Fractional coordinates of all 15 atoms:
Zn 0.000 0.000 0.000
H 0.004 0.320 0.544
H 0.250 0.634 0.711
H 0.320 0.004 0.544
H 0.366 0.750 0.289
H 0.634 0.250 0.711
H 0.680 0.996 0.456
H 0.750 0.366 0.289
H 0.996 0.680 0.456
N 0.137 0.759 0.609
N 0.241 0.863 0.391
N 0.759 0.137 0.609
N 0.863 0.241 0.391
Cl 0.291 0.291 0.005
Cl 0.709 0.709 0.995

(6)
Computed, not measured: crystalline NaHCl2 at its relaxed geometry at the GGA-PBEsol level of DFT.

Calculated values
As for the spin magnetization: 0.00 μB/f.u. As for the energy: -3.329 eV/atom. The space group is R-3m (166).

a = 6.335 Å, b = 6.335 Å, c = 6.335 Å
α = 39.01°, β = 39.01°, γ = 39.01°
Fractional coordinates of all 4 atoms:
Na 0.000 0.000 0.000
H 0.500 0.500 0.500
Cl 0.412 0.412 0.412
Cl 0.588 0.588 0.588

(7)
Computed, not measured: crystalline Na3HCl at its relaxed geometry at the GGA-PBEsol level of DFT.

Calculated values
As for the spin magnetization: 0.00 μB/f.u. As for the energy: -2.419 eV/atom. The space group is Pm-3m (221).

a = 4.738 Å, b = 4.738 Å, c = 4.738 Å
α = 90.00°, β = 90.00°, γ = 90.00°
Fractional coordinates of all 5 atoms:
Na 0.000 0.000 0.500
Na 0.000 0.500 0.000
Na 0.500 0.000 0.000
H 0.000 0.000 0.000
Cl 0.500 0.500 0.500

(8)
Computed, not measured: crystalline NaHCl2 at its relaxed geometry at the GGA-PBEsol level of DFT.

Calculated values
As for the spin magnetization: 0.10 μB/f.u. As for the energy: -2.348 eV/atom. The space group is Fm-3m (225).

a = 4.601 Å, b = 4.601 Å, c = 4.601 Å
α = 60.00°, β = 60.00°, γ = 60.00°
Fractional coordinates of all 4 atoms:
Na 0.000 0.000 0.000
H 0.500 0.500 0.500
Cl 0.250 0.250 0.250
Cl 0.750 0.750 0.750

(9)
Computed, not measured: crystalline Na2HCl at its relaxed geometry at the GGA-PBEsol level of DFT.

Calculated values
As for the spin magnetization: 0.00 μB/f.u. As for the energy: -2.947 eV/atom. The space group is I-42d (122).

a = 5.928 Å, b = 5.928 Å, c = 5.928 Å
α = 114.81°, β = 114.81°, γ = 99.25°
Fractional coordinates of all 8 atoms:
Na 0.066 0.125 0.441
Na 0.375 0.934 0.059
Na 0.684 0.625 0.559
Na 0.875 0.316 0.941
H 0.000 0.000 0.000
H 0.750 0.250 0.500
Cl 0.250 0.750 0.500
Cl 0.500 0.500 0.000

(10)
Computed, not measured: crystalline NaZn4H18SClO16 at its relaxed geometry at the GGA-PBEsol level of DFT.

Calculated values
As for the spin magnetization: 0.00 μB/f.u. As for the energy: -5.058 eV/atom. The space group is P-3 (147).

a = 8.282 Å, b = 8.282 Å, c = 12.726 Å
α = 90.00°, β = 90.00°, γ = 120.00°
Fractional coordinates of all 82 atoms:
Na 0.333 0.667 0.091
Na 0.667 0.333 0.909
Zn 0.000 0.000 0.358
Zn 0.000 0.000 0.642
Zn 0.125 0.413 0.493
Zn 0.288 0.875 0.493
Zn 0.413 0.288 0.507
Zn 0.587 0.712 0.493
Zn 0.712 0.125 0.507
Zn 0.875 0.587 0.507
H 0.007 0.552 0.210
H 0.035 0.741 0.998
H 0.073 0.767 0.199
H 0.090 0.763 0.663
H 0.117 0.649 0.350
H 0.173 0.763 0.907
H 0.233 0.305 0.199
H 0.237 0.326 0.663
H 0.237 0.409 0.907
H 0.259 0.293 0.998
H 0.293 0.035 0.002
H 0.305 0.073 0.801
H 0.326 0.090 0.337
H 0.351 0.468 0.350
H 0.409 0.173 0.093
H 0.448 0.455 0.210
H 0.455 0.007 0.790
H 0.468 0.117 0.650
H 0.532 0.883 0.350
H 0.545 0.993 0.210
H 0.552 0.545 0.790
H 0.591 0.827 0.907
H 0.649 0.532 0.650
H 0.674 0.910 0.663
H 0.695 0.927 0.199
H 0.707 0.965 0.998
H 0.741 0.707 0.002
H 0.763 0.591 0.093
H 0.763 0.674 0.337
H 0.767 0.695 0.801
H 0.827 0.237 0.093
H 0.883 0.351 0.650
H 0.910 0.237 0.337
H 0.927 0.233 0.801
H 0.965 0.259 0.002
H 0.993 0.448 0.790
S 0.333 0.667 0.733
S 0.667 0.333 0.267
Cl 0.000 0.000 0.180
Cl 0.000 0.000 0.820
O 0.062 0.812 0.598
O 0.106 0.630 0.428
O 0.117 0.680 0.216
O 0.169 0.678 0.773
O 0.171 0.795 0.982
O 0.188 0.250 0.598
O 0.205 0.376 0.982
O 0.250 0.062 0.402
O 0.320 0.438 0.216
O 0.322 0.492 0.773
O 0.333 0.667 0.617
O 0.370 0.476 0.428
O 0.376 0.171 0.018
O 0.438 0.117 0.784
O 0.476 0.106 0.572
O 0.492 0.169 0.227
O 0.508 0.831 0.773
O 0.524 0.894 0.428
O 0.562 0.883 0.216
O 0.624 0.829 0.982
O 0.630 0.524 0.572
O 0.667 0.333 0.383
O 0.678 0.508 0.227
O 0.680 0.562 0.784
O 0.750 0.938 0.598
O 0.795 0.624 0.018
O 0.812 0.750 0.402
O 0.829 0.205 0.018
O 0.831 0.322 0.227
O 0.883 0.320 0.784
O 0.894 0.370 0.572
O 0.938 0.188 0.402

(11)
Computed, not measured: crystalline NaSbH2Cl at its relaxed geometry at the GGA-PBEsol level of DFT.

Calculated values
As for the spin magnetization: 0.51 μB/f.u. As for the energy: -3.142 eV/atom. The space group is P4/mmm (123).

a = 3.827 Å, b = 3.827 Å, c = 7.036 Å
α = 90.00°, β = 90.00°, γ = 90.00°
Fractional coordinates of all 5 atoms:
Na 0.000 0.000 0.000
Sb 0.000 0.000 0.500
H 0.000 0.500 0.500
H 0.500 0.000 0.500
Cl 0.500 0.500 0.000

(12)
Computed, not measured: crystalline NbH3Cl at its relaxed geometry at the GGA-PBEsol level of DFT.

Calculated values
As for the spin magnetization: 0.00 μB/f.u. As for the energy: -4.216 eV/atom. The space group is Pm-3m (221).

a = 3.704 Å, b = 3.704 Å, c = 3.704 Å
α = 90.00°, β = 90.00°, γ = 90.00°
Fractional coordinates of all 5 atoms:
Nb 0.000 0.000 0.000
H 0.000 0.000 0.500
H 0.000 0.500 0.000
H 0.500 0.000 0.000
Cl 0.500 0.500 0.500

(13)
Computed, not measured: crystalline NbP2HCl at its relaxed geometry at the GGA-PBEsol level of DFT.

Calculated values
As for the spin magnetization: 0.73 μB/f.u. As for the energy: -4.986 eV/atom. The space group is P4/mmm (123).

a = 4.771 Å, b = 4.771 Å, c = 4.961 Å
α = 90.00°, β = 90.00°, γ = 90.00°
Fractional coordinates of all 5 atoms:
Nb 0.000 0.000 0.000
P 0.000 0.500 0.000
P 0.500 0.000 0.000
H 0.500 0.500 0.500
Cl 0.000 0.000 0.500

(14)
Computed, not measured: crystalline NiHCl3 at its relaxed geometry at the GGA-PBEsol level of DFT.

Calculated values
As for the spin magnetization: 2.11 μB/f.u. As for the energy: -2.410 eV/atom. The space group is Pm-3m (221).

a = 4.228 Å, b = 4.228 Å, c = 4.228 Å
α = 90.00°, β = 90.00°, γ = 90.00°
Fractional coordinates of all 5 atoms:
Ni 0.000 0.000 0.000
H 0.500 0.500 0.500
Cl 0.000 0.500 0.500
Cl 0.500 0.000 0.500
Cl 0.500 0.500 0.000